First-principles (SCAN) data for ReSbIr2 at its PBEsol-relaxed geometry, as listed in Alexandria.

a b c (Å): 2.8944 2.8944 26.2044
angles (deg): 90.00 90.00 120.00
Space group R3m (No. 160, hexagonal axes)
Unique sites:
Re 0.0000 0.0000 0.0000 x3
Sb 0.0000 0.0000 0.7548 x3
Ir 0.0000 0.0000 0.2558 x3
Ir 0.0000 0.0000 0.5033 x3

Properties
Calculated density in g/cm³: 18.14
Total moment in μB/cell: 0.00
Final energy in eV per cell: -745.65

First-principles (SCAN) data for BaTcHg at its PBEsol-relaxed geometry, as listed in Alexandria.

a b c (Å): 3.666 3.666 11.309
angles (deg): 90.00 90.00 90.00
Space group I4mm (No. 107)
Unique sites:
Ba 0.000 0.000 0.000 x2
Tc 0.000 0.000 0.286 x2
Hg 0.000 0.000 0.714 x2

Properties
Calculated density in g/cm³: 9.53
Energy of formation from the pure elements in eV/atom: 0.60
Total moment in μB/cell: 0.00
Final energy in eV per cell: -281.95

First-principles (SCAN) data for LiNi5 at its PBEsol-relaxed geometry, as listed in Alexandria.

a b c (Å): 4.006 2.432 12.806
angles (deg): 90.00 90.00 90.00
Space group Amm2 (No. 38)
Unique sites:
Li 0.000 0.000 0.000 x2
Ni 0.000 0.000 0.332 x2
Ni 0.000 0.000 0.668 x2
Ni 0.500 0.000 0.109 x2
Ni 0.500 0.000 0.443 x2
Ni 0.500 0.000 0.778 x2

Properties
Calculated density in g/cm³: 8.00
Energy of formation from the pure elements in eV/atom: 0.05
Polymorph energy (0 for the lowest one) in kJ/mol of formula units: 6
Total moment in μB/cell: 6.66
Final energy in eV per cell: -165.94

First-principles (SCAN) data for Na2BPbW at its PBEsol-relaxed geometry, as listed in Alexandria.

a b c (Å): 4.801 4.801 4.799
angles (deg): 90.00 90.00 90.00
Space group P4/mmm (No. 123)
Unique sites:
Na 0.000 0.500 0.000 x2
B 0.000 0.000 0.000 x1
Pb 0.000 0.000 0.500 x1
W 0.500 0.500 0.500 x1

Properties
Calculated density in g/cm³: 6.72
Energy of formation from the pure elements in eV/atom: 1.70
Total moment in μB/cell: 3.98
Final energy in eV per cell: -152.81

First-principles (SCAN) data for TbF4 at its PBEsol-relaxed geometry, as listed in Alexandria.

a b c (Å): 12.257 11.043 7.891
angles (deg): 90.00 122.88 90.00
Space group C2/c (No. 15)
Unique sites:
Tb 0.000 0.200 0.250 x4
Tb 0.208 0.432 0.862 x8
F 0.000 0.406 0.750 x4
F 0.097 0.309 0.553 x8
F 0.121 0.049 0.441 x8
F 0.130 0.154 0.145 x8
F 0.138 0.363 0.350 x8
F 0.195 0.453 0.128 x8
F 0.250 0.250 0.000 x4

Properties
Calculated density in g/cm³: 5.22
Total moment in μB/cell: 12.06
Final energy in eV per cell: -934.70

First-principles (SCAN) data for Cu7As at its PBEsol-relaxed geometry, as listed in Alexandria.

a b c (Å): 7.245 7.245 7.245
angles (deg): 90.00 90.00 90.00
Space group Fm-3m (No. 225)
Unique sites:
Cu 0.000 0.000 0.000 x4
Cu 0.000 0.250 0.250 x24
As 0.000 0.000 0.500 x4

Properties
Calculated density in g/cm³: 9.08
Energy of formation from the pure elements in eV/atom: 0.03
Total moment in μB/cell: 0.00
Final energy in eV per cell: -505.47